VASP calculation (GGA+U) on a relaxed CaNiO2 crystal.

extended XYZ file:
```
16
Lattice="3.2356 -0.0482 -0.0147 0.1198 7.7166 0.7859 0.0631 1.8467 7.6025" Properties=species:S:1:pos:R:3 pbc="T T T"
O 2.5251 4.7072 5.4612
O 2.5654 6.8079 7.6293
O 0.8531 2.7072 0.7444
O 0.8680 2.0128 6.1618
O 0.8935 4.8079 2.9124
O 2.5505 7.5023 2.2119
O 2.4786 2.4009 3.4896
O 0.9400 7.1141 4.8841
Ni 2.4907 3.6903 1.7829
Ni 2.5374 6.0221 3.8991
Ni 0.9278 5.8248 6.5908
Ni 0.8811 3.4929 4.4746
Ca 2.5097 3.2695 7.1898
Ca 0.9088 6.2456 1.1839
Ca 2.5818 8.4071 5.9337
Ca 0.8367 1.1080 2.4400
```

Values from the calculation:
space-group type	P2_1/m
uncorrected energy	-5.576	eV/atom
density	4.69	g/cm³